! PBE TbHoMg2Au4, optimized geometry; values from VASP
! - space group = P4/mmm (123)
! - mass density (g/cm3) = 11.808
! - raw total energy (eV per atom) = -3.9516
&SYSTEM
  ibrav = 0, nat = 8, ntyp = 4
/
ATOMIC_SPECIES
Au 196.97 Au.upf
Ho 164.93 Ho.upf
Mg 24.30 Mg.upf
Tb 158.93 Tb.upf
CELL_PARAMETERS angstrom
-4.2996 2.2835 -0.0074
-1.9123 -3.6092 -2.6490
-1.7650 -3.3046 5.7766
ATOMIC_POSITIONS crystal
Au 0.5000 0.0000 0.2503
Au 0.0000 0.5000 0.2503
Au 0.5000 0.0000 0.7497
Au 0.0000 0.5000 0.7497
Ho 0.0000 0.0000 0.5000
Mg 0.0000 0.0000 0.0000
Mg 0.5000 0.5000 0.5000
Tb 0.5000 0.5000 0.0000